No. 1
DFT (PBE-GGA) results for an optimized crystal structure of ReAsPBr2.

Unit cell a=5.1876 b=5.1876 c=4.8277 alpha=90.00 beta=90.00 gamma=90.00
Fractional coordinates of all 5 atoms:
Re1 0.0000 0.0000 0.0000
As1 0.0000 0.0000 0.5000
P1 0.5000 0.5000 0.5000
Br1 0.0000 0.5000 0.0000
Br2 0.5000 0.0000 0.0000

* final energy: -20.73 eV/cell
* uncorrected formation energy: 1.025 eV per atom
* total magnetization: 3.3 μB/f.u.

=====

No. 2
DFT (PBE-GGA) results for an optimized crystal structure of BaTe2Ru.

Unit cell a=7.6423 b=7.6423 c=7.6423 alpha=90.00 beta=90.00 gamma=90.00
Fractional coordinates of all 16 atoms:
Ba1 0.0000 0.0000 0.0000
Ba2 0.0000 0.5000 0.5000
Ba3 0.5000 0.0000 0.5000
Ba4 0.5000 0.5000 0.0000
Te1 0.2500 0.2500 0.2500
Te2 0.2500 0.2500 0.7500
Te3 0.2500 0.7500 0.2500
Te4 0.2500 0.7500 0.7500
Te5 0.7500 0.2500 0.2500
Te6 0.7500 0.2500 0.7500
Te7 0.7500 0.7500 0.2500
Te8 0.7500 0.7500 0.7500
Ru1 0.0000 0.0000 0.5000
Ru2 0.0000 0.5000 0.0000
Ru3 0.5000 0.0000 0.0000
Ru4 0.5000 0.5000 0.5000

* final energy: -70.69 eV/cell
* uncorrected formation energy: -0.048 eV per atom
* total magnetization: 2.0 μB/f.u.

=====

Number 1: offset from the most stable computed form 0 meV per atom, theoretical density 5.78 g/cm3. Number 2: offset from the most stable computed form 624 meV per atom, theoretical density 7.35 g/cm3.